1.
{
  "formula": "LaY2Hf2",
  "functional": "PBE",
  "state": "optimized geometry",
  "dft_energy_ev_per_fu": -36.67,
  "crystal_system": "tetragonal",
  "de_polymorph_ev_per_fu": 0.00,
  "lattice": [[9.180, 0.000, 0.000], [0.000, 9.180, 0.000], [0.000, 0.000, 3.507]],
  "species": ["La", "La", "Y", "Y", "Y", "Y", "Hf", "Hf", "Hf", "Hf"],
  "fractional_positions": [[0.000, 0.000, 0.000], [0.500, 0.500, 0.000], [0.177, 0.323, 0.500], [0.323, 0.823, 0.500], [0.677, 0.177, 0.500], [0.823, 0.677, 0.500], [0.113, 0.613, 0.000], [0.387, 0.113, 0.000], [0.613, 0.887, 0.000], [0.887, 0.387, 0.000]]
}

2.
{
  "formula": "La2YHf",
  "functional": "PBE",
  "state": "optimized geometry",
  "dft_energy_ev_per_fu": -25.35,
  "crystal_system": "cubic",
  "de_polymorph_ev_per_fu": 0.20,
  "lattice": [[0.000, 3.948, 3.948], [3.948, 0.000, 3.948], [3.948, 3.948, 0.000]],
  "species": ["La", "La", "Y", "Hf"],
  "fractional_positions": [[0.250, 0.250, 0.250], [0.750, 0.750, 0.750], [0.000, 0.000, 0.000], [0.500, 0.500, 0.500]]
}

3.
{
  "formula": "La2YHf",
  "functional": "PBE",
  "state": "optimized geometry",
  "dft_energy_ev_per_fu": -24.75,
  "crystal_system": "trigonal",
  "de_polymorph_ev_per_fu": 0.80,
  "lattice": [[1.695, 0.978, 12.373], [-1.695, 0.978, 12.373], [0.000, -1.957, 12.373]],
  "species": ["La", "La", "Y", "Hf"],
  "fractional_positions": [[0.083, 0.083, 0.083], [0.917, 0.917, 0.917], [0.500, 0.500, 0.500], [0.000, 0.000, 0.000]]
}

4.
{
  "formula": "La2YHf",
  "functional": "PBE",
  "state": "optimized geometry",
  "dft_energy_ev_per_fu": -23.94,
  "crystal_system": "tetragonal",
  "de_polymorph_ev_per_fu": 1.61,
  "lattice": [[-4.442, 4.442, 3.283], [4.442, -4.442, 3.283], [4.442, 4.442, -3.283]],
  "species": ["La", "La", "La", "La", "Y", "Y", "Hf", "Hf"],
  "fractional_positions": [[0.090, 0.125, 0.465], [0.375, 0.910, 0.035], [0.660, 0.625, 0.535], [0.875, 0.340, 0.965], [0.250, 0.750, 0.500], [0.500, 0.500, 0.000], [0.000, 0.000, 0.000], [0.750, 0.250, 0.500]]
}

5.
{
  "formula": "La2YHf",
  "functional": "PBE",
  "state": "optimized geometry",
  "dft_energy_ev_per_fu": -25.48,
  "crystal_system": "tetragonal",
  "de_polymorph_ev_per_fu": 0.07,
  "lattice": [[4.078, 0.000, 0.000], [0.000, 4.078, 0.000], [0.000, 0.000, 7.496]],
  "species": ["La", "La", "Y", "Hf"],
  "fractional_positions": [[0.000, 0.000, 0.224], [0.000, 0.000, 0.776], [0.500, 0.500, 0.500], [0.500, 0.500, 0.000]]
}

6.
{
  "formula": "LaYHf2",
  "functional": "PBE",
  "state": "optimized geometry",
  "dft_energy_ev_per_fu": -28.25,
  "crystal_system": "tetragonal",
  "de_polymorph_ev_per_fu": 1.52,
  "lattice": [[-4.203, 4.203, 3.176], [4.203, -4.203, 3.176], [4.203, 4.203, -3.176]],
  "species": ["La", "La", "Y", "Y", "Hf", "Hf", "Hf", "Hf"],
  "fractional_positions": [[0.000, 0.000, 0.000], [0.750, 0.250, 0.500], [0.250, 0.750, 0.500], [0.500, 0.500, 0.000], [0.126, 0.625, 0.001], [0.375, 0.376, 0.501], [0.624, 0.125, 0.999], [0.875, 0.874, 0.499]]
}

7.
{
  "formula": "La2YHf2",
  "functional": "PBE",
  "state": "optimized geometry",
  "dft_energy_ev_per_fu": -33.78,
  "crystal_system": "tetragonal",
  "de_polymorph_ev_per_fu": 1.03,
  "lattice": [[-2.180, 2.180, 8.116], [2.180, -2.180, 8.116], [2.180, 2.180, -8.116]],
  "species": ["La", "La", "Y", "Hf", "Hf"],
  "fractional_positions": [[0.100, 0.100, 0.000], [0.900, 0.900, 0.000], [0.500, 0.500, 0.000], [0.250, 0.750, 0.500], [0.750, 0.250, 0.500]]
}

8.
{
  "formula": "La2YHf",
  "functional": "PBE",
  "state": "optimized geometry",
  "dft_energy_ev_per_fu": -25.55,
  "crystal_system": "tetragonal",
  "de_polymorph_ev_per_fu": 0.00,
  "lattice": [[5.050, 0.000, 0.000], [0.000, 5.050, 0.000], [0.000, 0.000, 4.842]],
  "species": ["La", "La", "Y", "Hf"],
  "fractional_positions": [[0.000, 0.500, 0.000], [0.500, 0.000, 0.000], [0.000, 0.000, 0.500], [0.500, 0.500, 0.500]]
}

9.
{
  "formula": "LaY2Hf",
  "functional": "PBE",
  "state": "optimized geometry",
  "dft_energy_ev_per_fu": -26.65,
  "crystal_system": "cubic",
  "de_polymorph_ev_per_fu": 0.62,
  "lattice": [[0.000, 3.922, 3.922], [3.922, 0.000, 3.922], [3.922, 3.922, 0.000]],
  "species": ["La", "Y", "Y", "Hf"],
  "fractional_positions": [[0.000, 0.000, 0.000], [0.250, 0.250, 0.250], [0.750, 0.750, 0.750], [0.500, 0.500, 0.500]]
}

10.
{
  "formula": "LaY2Hf",
  "functional": "PBE",
  "state": "optimized geometry",
  "dft_energy_ev_per_fu": -25.57,
  "crystal_system": "tetragonal",
  "de_polymorph_ev_per_fu": 1.70,
  "lattice": [[-2.343, 2.343, 11.344], [2.343, -2.343, 11.344], [2.343, 2.343, -11.344]],
  "species": ["La", "La", "Y", "Y", "Y", "Y", "Hf", "Hf"],
  "fractional_positions": [[0.000, 0.000, 0.000], [0.750, 0.250, 0.500], [0.137, 0.625, 0.012], [0.375, 0.387, 0.512], [0.613, 0.125, 0.988], [0.875, 0.863, 0.488], [0.250, 0.750, 0.500], [0.500, 0.500, 0.000]]
}

11.
{
  "formula": "La2YHf2",
  "functional": "PBE",
  "state": "optimized geometry",
  "dft_energy_ev_per_fu": -34.43,
  "crystal_system": "tetragonal",
  "de_polymorph_ev_per_fu": 0.38,
  "lattice": [[9.288, 0.000, 0.000], [0.000, 9.288, 0.000], [0.000, 0.000, 3.395]],
  "species": ["La", "La", "La", "La", "Y", "Y", "Hf", "Hf", "Hf", "Hf"],
  "fractional_positions": [[0.177, 0.323, 0.000], [0.323, 0.823, 0.000], [0.677, 0.177, 0.000], [0.823, 0.677, 0.000], [0.000, 0.000, 0.000], [0.500, 0.500, 0.000], [0.119, 0.619, 0.500], [0.381, 0.119, 0.500], [0.619, 0.881, 0.500], [0.881, 0.381, 0.500]]
}

12.
{
  "formula": "LaY2Hf",
  "functional": "PBE",
  "state": "optimized geometry",
  "dft_energy_ev_per_fu": -27.27,
  "crystal_system": "trigonal",
  "de_polymorph_ev_per_fu": 0.00,
  "lattice": [[1.736, 1.002, 11.512], [-1.736, 1.002, 11.512], [0.000, -2.004, 11.512]],
  "species": ["La", "Y", "Y", "Hf"],
  "fractional_positions": [[0.000, 0.000, 0.000], [0.242, 0.242, 0.242], [0.425, 0.425, 0.425], [0.834, 0.834, 0.834]]
}